Entry from the Alexandria database: a geometry-optimized Nd7DyIn4 structure (PBE-GGA).

Formation enthalpy at 0 K in meV per atom: -139
Energy in eV per atom: -4.22
Calculated density in g/cm3: 7.016

The structure in CIF format:
```
data_Nd7DyIn4
_cell_length_a 14.7580
_cell_length_b 5.8389
_cell_length_c 10.7479
_cell_angle_alpha 90.00
_cell_angle_beta 123.51
_cell_angle_gamma 90.00
_symmetry_space_group_name_H-M 'C 1 2/m 1'
_symmetry_Int_Tables_number 12
_symmetry_space_group_name_Hall '-C 2y'
loop_
_atom_site_label
_atom_site_fract_x
_atom_site_fract_y
_atom_site_fract_z
_atom_site_occupancy
Nd1 0.0000 0.0000 0.0000 1
Nd2 0.0629 0.5000 0.3921 1
Nd3 0.2051 0.5000 0.8810 1
Nd4 0.2211 0.0000 0.6607 1
Dy1 0.0000 0.5000 0.0000 1
In1 0.0569 0.0000 0.7524 1
In2 0.1811 0.0000 0.3333 1
```